Material: MnBC2
Method: DFT, GGA-PBEsol
State: relaxed

Output
Energy relative to the elements (eV/f.u.): 2.24
Density (g/cm³): 4.418

Structure (CIF):
```
data_MnBC2
_cell_length_a 4.116
_cell_length_b 4.116
_cell_length_c 7.965
_cell_angle_alpha 90.00
_cell_angle_beta 90.00
_cell_angle_gamma 90.00
_symmetry_space_group_name_H-M 'P 1'
_symmetry_Int_Tables_number 1
loop_
_symmetry_equiv_pos_as_xyz
'x,y,z'
loop_
_atom_site_label
_atom_site_fract_x
_atom_site_fract_y
_atom_site_fract_z
Mn1 0.000 0.000 0.000
Mn2 0.000 0.500 0.250
Mn3 0.500 0.000 0.750
Mn4 0.500 0.500 0.500
B1 0.000 0.000 0.500
B2 0.000 0.500 0.750
B3 0.500 0.000 0.250
B4 0.500 0.500 0.000
C1 0.206 0.250 0.625
C2 0.250 0.706 0.875
C3 0.250 0.794 0.375
C4 0.294 0.250 0.125
C5 0.706 0.750 0.125
C6 0.750 0.206 0.375
C7 0.750 0.294 0.875
C8 0.794 0.750 0.625
```

***

Material: Mn2NbBC
Method: DFT, GGA-PBEsol
State: relaxed

Output
Energy relative to the elements (eV/f.u.): 12.49
Density (g/cm³): 4.189

Structure (CIF):
```
data_Mn2NbBC
_cell_length_a 4.729
_cell_length_b 4.729
_cell_length_c 3.999
_cell_angle_alpha 90.00
_cell_angle_beta 90.00
_cell_angle_gamma 90.00
_symmetry_space_group_name_H-M 'P 1'
_symmetry_Int_Tables_number 1
loop_
_symmetry_equiv_pos_as_xyz
'x,y,z'
loop_
_atom_site_label
_atom_site_fract_x
_atom_site_fract_y
_atom_site_fract_z
Mn1 0.000 0.500 0.000
Mn2 0.500 0.000 0.000
Nb1 0.000 0.000 0.000
B1 0.500 0.500 0.500
C1 0.000 0.000 0.500
```

***

Material: Sc2MnBC
Method: DFT, GGA-PBEsol
State: relaxed

Output
Energy relative to the elements (eV/f.u.): 4.46
Density (g/cm³): 3.639

Structure (CIF):
```
data_Sc2MnBC
_cell_length_a 4.628
_cell_length_b 4.628
_cell_length_c 3.572
_cell_angle_alpha 90.00
_cell_angle_beta 90.00
_cell_angle_gamma 90.00
_symmetry_space_group_name_H-M 'P 1'
_symmetry_Int_Tables_number 1
loop_
_symmetry_equiv_pos_as_xyz
'x,y,z'
loop_
_atom_site_label
_atom_site_fract_x
_atom_site_fract_y
_atom_site_fract_z
Sc1 0.000 0.500 0.000
Sc2 0.500 0.000 0.000
Mn1 0.000 0.000 0.000
B1 0.500 0.500 0.500
C1 0.000 0.000 0.500
```